LuTlCoCu: optimized geometry, PBE-GGA.

Summary:
As for the density: 11.4 g/cm3. Its energy above the most stable polymorph in this dataset is 198.9 meV per atom. For the raw total energy, the calculation gives -0.155 hartree per atom.

Cell lengths 4.6874, 4.6874, 4.6874 Å; angles 60.00, 60.00, 60.00 degrees
Last column: nearest neighbours and their distance in Å.
Sites, in units of the cell vectors:
Co 0.5000 0.5000 0.5000  4 Cu 2.87, 4 Lu 2.87
Cu 0.7500 0.7500 0.7500  4 Co 2.87, 4 Tl 2.87
Lu 0.2500 0.2500 0.2500  4 Tl 2.87, 4 Co 2.87
Tl 0.0000 0.0000 0.0000  4 Lu 2.87, 4 Cu 2.87

=====

LuZnCoCu: optimized geometry, PBE-GGA.

Summary:
The calculation puts the energy of formation at -1 meV per atom. As for the density: 9.7 g/cm3. Its energy above the most stable polymorph in this dataset is 125.8 meV per atom. For the raw total energy, the calculation gives -0.153 hartree per atom.

Cell lengths 4.4390, 4.4390, 4.4390 Å; angles 60.00, 60.00, 60.00 degrees
Last column: nearest neighbours and their distance in Å.
Sites, in units of the cell vectors:
Co 0.5000 0.5000 0.5000  4 Cu 2.72, 4 Lu 2.72
Cu 0.7500 0.7500 0.7500  4 Co 2.72, 4 Zn 2.72
Lu 0.2500 0.2500 0.2500  4 Co 2.72, 4 Zn 2.72
Zn 0.0000 0.0000 0.0000  4 Cu 2.72, 4 Lu 2.72

=====

LuZnCoCu: optimized geometry, PBE-GGA.

Summary:
The calculation puts the energy of formation at -127 meV per atom. As for the density: 10.0 g/cm3. Its energy above the most stable polymorph in this dataset is 0.0 meV per atom. For the raw total energy, the calculation gives -0.157 hartree per atom.

Cell lengths 4.4068, 4.4068, 4.4068 Å; angles 60.00, 60.00, 60.00 degrees
Last column: nearest neighbours and their distance in Å.
Sites, in units of the cell vectors:
Co 0.7500 0.7500 0.7500  4 Lu 2.70, 4 Zn 2.70
Cu 0.2500 0.2500 0.2500  4 Lu 2.70, 4 Zn 2.70
Lu 0.5000 0.5000 0.5000  4 Co 2.70, 4 Cu 2.70
Zn 0.0000 0.0000 0.0000  4 Co 2.70, 4 Cu 2.70

=====

LuZnCoCu: optimized geometry, PBE-GGA.

Summary:
The calculation puts the energy of formation at -22 meV per atom. As for the density: 9.7 g/cm3. Its energy above the most stable polymorph in this dataset is 105.6 meV per atom. For the raw total energy, the calculation gives -0.153 hartree per atom.

Cell lengths 4.4439, 4.4439, 4.4439 Å; angles 60.00, 60.00, 60.00 degrees
Last column: nearest neighbours and their distance in Å.
Sites, in units of the cell vectors:
Co 0.7500 0.7500 0.7500  4 Zn 2.72, 4 Cu 2.72
Cu 0.5000 0.5000 0.5000  4 Lu 2.72, 4 Co 2.72
Lu 0.2500 0.2500 0.2500  4 Cu 2.72, 4 Zn 2.72
Zn 0.0000 0.0000 0.0000  4 Co 2.72, 4 Lu 2.72

=====

Mg2CoCu5: optimized geometry, PBE-GGA.

Summary:
As for the density: 6.9 g/cm3. Its energy above the most stable polymorph in this dataset is 0.0 meV per atom. For the raw total energy, the calculation gives -0.131 hartree per atom.

Cell lengths 4.1547, 4.1547, 5.9345 Å; angles 90.00, 90.00, 90.00 degrees
Last column: nearest neighbours and their distance in Å.
Sites, in units of the cell vectors:
Co 0.0000 0.0000 0.5000  8 Cu 2.53
Cu 0.5000 0.5000 0.0000  8 Cu 2.57
Cu 0.5000 0.0000 0.2555  2 Co 2.53, 4 Mg 2.53-2.57, 2 Cu 2.57
Cu 0.0000 0.5000 0.2555  2 Co 2.53, 4 Mg 2.53-2.57, 2 Cu 2.57
Cu 0.5000 0.0000 0.7445  2 Co 2.53, 4 Mg 2.53-2.57, 2 Cu 2.57
Cu 0.0000 0.5000 0.7445  2 Co 2.53, 4 Mg 2.53-2.57, 2 Cu 2.57
Mg 0.0000 0.0000 0.0000  8 Cu 2.57
Mg 0.5000 0.5000 0.5000  8 Cu 2.53

=====

Mg2CoCu5: optimized geometry, PBE-GGA.

Summary:
As for the density: 6.9 g/cm3. Its energy above the most stable polymorph in this dataset is 5.1 meV per atom. For the raw total energy, the calculation gives -0.131 hartree per atom.

Cell lengths 4.1479, 4.1479, 5.9238 Å; angles 90.00, 90.00, 90.00 degrees
Last column: nearest neighbours and their distance in Å.
Sites, in units of the cell vectors:
Co 0.5000 0.5000 0.0000  8 Cu 2.53
Cu 0.5000 0.0000 0.2445  2 Co 2.53, 4 Mg 2.53-2.57, 2 Cu 2.57
Cu 0.0000 0.5000 0.2445  2 Co 2.53, 4 Mg 2.53-2.57, 2 Cu 2.57
Cu 0.0000 0.0000 0.5000  8 Cu 2.57
Cu 0.5000 0.0000 0.7555  2 Co 2.53, 4 Mg 2.53-2.57, 2 Cu 2.57
Cu 0.0000 0.5000 0.7555  2 Co 2.53, 4 Mg 2.53-2.57, 2 Cu 2.57
Mg 0.0000 0.0000 0.0000  8 Cu 2.53
Mg 0.5000 0.5000 0.5000  8 Cu 2.57

=====

MgCoCuMo: optimized geometry, PBE-GGA.

Summary:
As for the density: 7.4 g/cm3. Its energy above the most stable polymorph in this dataset is 0.0 meV per atom. For the raw total energy, the calculation gives -0.207 hartree per atom.

Cell lengths 4.2525, 4.2525, 4.2525 Å; angles 60.00, 60.00, 60.00 degrees
Last column: nearest neighbours and their distance in Å.
Sites, in units of the cell vectors:
Co 0.0000 0.0000 0.0000  4 Mg 2.60, 4 Mo 2.60
Cu 0.5000 0.5000 0.5000  4 Mg 2.60, 4 Mo 2.60
Mg 0.7500 0.7500 0.7500  4 Cu 2.60, 4 Co 2.60
Mo 0.2500 0.2500 0.2500  4 Cu 2.60, 4 Co 2.60

=====

MgCoCuPb: optimized geometry, PBE-GGA.

Summary:
As for the density: 9.1 g/cm3. Its energy above the most stable polymorph in this dataset is 0.0 meV per atom. For the raw total energy, the calculation gives -0.140 hartree per atom.

Cell lengths 4.4971, 4.4971, 4.4971 Å; angles 60.00, 60.00, 60.00 degrees
Last column: nearest neighbours and their distance in Å.
Sites, in units of the cell vectors:
Co 0.2500 0.2500 0.2500  4 Mg 2.75, 4 Pb 2.75
Cu 0.7500 0.7500 0.7500  4 Mg 2.75, 4 Pb 2.75
Mg 0.5000 0.5000 0.5000  4 Cu 2.75, 4 Co 2.75
Pb 0.0000 0.0000 0.0000  4 Co 2.75, 4 Cu 2.75

=====

MgCoCuSb: optimized geometry, PBE-GGA.

Summary:
As for the density: 7.4 g/cm3. Its energy above the most stable polymorph in this dataset is 0.0 meV per atom. For the raw total energy, the calculation gives -0.151 hartree per atom.

Cell lengths 4.3982, 4.3982, 4.3982 Å; angles 60.00, 60.00, 60.00 degrees
Last column: nearest neighbours and their distance in Å.
Sites, in units of the cell vectors:
Co 0.7500 0.7500 0.7500  4 Mg 2.69, 4 Sb 2.69
Cu 0.2500 0.2500 0.2500  4 Sb 2.69, 4 Mg 2.69
Mg 0.5000 0.5000 0.5000  4 Co 2.69, 4 Cu 2.69
Sb 0.0000 0.0000 0.0000  4 Cu 2.69, 4 Co 2.69

=====

MgCoCu4Si2: optimized geometry, PBE-GGA.

Summary:
As for the density: 6.6 g/cm3. For the raw total energy, the calculation gives -0.157 hartree per atom.

Cell lengths 4.1052, 4.1052, 5.8457 Å; angles 90.00, 90.00, 90.00 degrees
Last column: nearest neighbours and their distance in Å.
Sites, in units of the cell vectors:
Co 0.5000 0.5000 0.0000  8 Cu 2.49
Cu 0.5000 0.0000 0.2416  2 Co 2.49, 4 Si 2.49-2.55, 2 Mg 2.55
Cu 0.0000 0.5000 0.2416  2 Co 2.49, 4 Si 2.49-2.55, 2 Mg 2.55
Cu 0.5000 0.0000 0.7584  2 Co 2.49, 4 Si 2.49-2.55, 2 Mg 2.55
Cu 0.0000 0.5000 0.7584  2 Co 2.49, 4 Si 2.49-2.55, 2 Mg 2.55
Mg 0.0000 0.0000 0.5000  8 Cu 2.55
Si 0.0000 0.0000 0.0000  8 Cu 2.49
Si 0.5000 0.5000 0.5000  8 Cu 2.55

=====

MgCoCuSn: optimized geometry, PBE-GGA.

Summary:
As for the density: 7.3 g/cm3. Its energy above the most stable polymorph in this dataset is 0.0 meV per atom. For the raw total energy, the calculation gives -0.152 hartree per atom.

Cell lengths 4.3996, 4.3996, 4.3996 Å; angles 60.00, 60.00, 60.00 degrees
Last column: nearest neighbours and their distance in Å.
Sites, in units of the cell vectors:
Co 0.7500 0.7500 0.7500  4 Mg 2.69, 4 Sn 2.69
Cu 0.2500 0.2500 0.2500  4 Mg 2.69, 4 Sn 2.69
Mg 0.5000 0.5000 0.5000  4 Cu 2.69, 4 Co 2.69
Sn 0.0000 0.0000 0.0000  4 Cu 2.69, 4 Co 2.69

=====

MgCoCuTe3: optimized geometry, PBE-GGA.

Summary:
As for the density: 6.8 g/cm3. For the raw total energy, the calculation gives -0.138 hartree per atom.

Cell lengths 6.6599, 6.6599, 10.4345 Å; angles 90.00, 90.00, 146.06 degrees
Last column: nearest neighbours and their distance in Å.
Sites, in units of the cell vectors:
Co 0.0000 0.0000 0.0000  6 Te 2.61-2.81
Co 0.0000 0.0000 0.5000  6 Te 2.61-2.81
Cu 0.4451 0.5549 0.2500  4 Te 2.53-2.61
Cu 0.5549 0.4451 0.7500  4 Te 2.53-2.61
Mg 0.7744 0.2256 0.2500  2 Cu 2.92, 6 Te 3.13-3.24
Mg 0.2256 0.7744 0.7500  2 Cu 2.92, 6 Te 3.13-3.24
Te 0.3657 0.6343 0.0279  1 Cu 2.53, 2 Co 2.61
Te 0.0818 0.9182 0.2500  2 Cu 2.61, 2 Co 2.81
Te 0.3657 0.6343 0.4721  1 Cu 2.53, 2 Co 2.61
Te 0.6343 0.3657 0.5279  1 Cu 2.53, 2 Co 2.61
Te 0.9182 0.0818 0.7500  2 Cu 2.61, 2 Co 2.81
Te 0.6343 0.3657 0.9721  1 Cu 2.53, 2 Co 2.61